Material: La5Ga2Co
Method: DFT, PBE
State: relaxed

E_form: -0.36 eV per atom
Total magnetization: 0.00 μB/f.u.
Final energy: -5.0855 eV per atom

Lattice parameters (Å, degrees): 8.126 11.914 4.774 90.00 90.00 90.00
Space group Pbam (No. 55)
One atom of each set of equivalent atoms:
La  0.000  0.000  0.000 [2 per cell]
La  0.134  0.302  0.000 [4 per cell]
La  0.184  0.574  0.500 [4 per cell]
Ga  0.078  0.836  0.500 [4 per cell]
Co  0.000  0.500  0.000 [2 per cell]